VASP calculation (PBE) on HoEr2CdHg4 after structural relaxation.

Structure (CIF):
```
data_HoEr2CdHg4
_chemical_formula_sum 'Ho1 Er2 Cd1 Hg4'
_symmetry_space_group_name_H-M 'P 1'
_symmetry_Int_Tables_number 1
_cell_length_a 5.122
_cell_length_b 5.122
_cell_length_c 9.080
_cell_angle_alpha 73.62
_cell_angle_beta 73.62
_cell_angle_gamma 60.00
loop_
_symmetry_equiv_pos_as_xyz
'x,y,z'
loop_
_atom_site_label
_atom_site_fract_x
_atom_site_fract_y
_atom_site_fract_z
Hg1 0.369 0.369 0.892
Hg2 0.878 0.878 0.367
Hg3 0.122 0.122 0.633
Hg4 0.631 0.631 0.108
Er1 0.243 0.243 0.270
Er2 0.757 0.757 0.730
Cd1 0.500 0.500 0.500
Ho1 0.000 0.000 0.000
```

Output
- SG: No. 166
- Energy of formation from the pure elements: -3.4 eV/f.u.

VASP calculation (PBE) on Pr3B2C3 after structural relaxation.

Structure (CIF):
```
data_Pr3B2C3
_chemical_formula_sum 'Pr6 B4 C6'
_symmetry_space_group_name_H-M 'P 1'
_symmetry_Int_Tables_number 1
_cell_length_a 2.985
_cell_length_b 5.500
_cell_length_c 15.222
_cell_angle_alpha 90.00
_cell_angle_beta 90.00
_cell_angle_gamma 105.75
loop_
_symmetry_equiv_pos_as_xyz
'x,y,z'
loop_
_atom_site_label
_atom_site_fract_x
_atom_site_fract_y
_atom_site_fract_z
C1 0.617 0.235 0.428
C2 0.383 0.765 0.572
C3 0.356 0.711 0.250
C4 0.644 0.289 0.750
C5 0.617 0.235 0.072
C6 0.383 0.765 0.928
Pr1 0.877 0.754 0.397
Pr2 0.877 0.754 0.103
Pr3 0.371 0.743 0.750
Pr4 0.123 0.246 0.897
Pr5 0.629 0.257 0.250
Pr6 0.123 0.246 0.603
B1 0.139 0.277 0.085
B2 0.861 0.723 0.585
B3 0.861 0.723 0.915
B4 0.139 0.277 0.415
```

Output
- SG: No. 63
- Energy of formation from the pure elements: 0.7 eV/f.u.

VASP calculation (PBE) on Pu2HgPd5 after structural relaxation.

Structure (CIF):
```
data_Pu2HgPd5
_chemical_formula_sum 'Pu2 Hg1 Pd5'
_symmetry_space_group_name_H-M 'P 1'
_symmetry_Int_Tables_number 1
_cell_length_a 6.194
_cell_length_b 6.194
_cell_length_c 5.910
_cell_angle_alpha 121.61
_cell_angle_beta 121.61
_cell_angle_gamma 90.00
loop_
_symmetry_equiv_pos_as_xyz
'x,y,z'
loop_
_atom_site_label
_atom_site_fract_x
_atom_site_fract_y
_atom_site_fract_z
Pu1 0.222 0.722 0.445
Pu2 0.722 0.222 0.445
Pd1 0.723 0.723 0.446
Pd2 0.223 0.722 0.944
Pd3 0.223 0.223 0.944
Pd4 0.722 0.722 0.944
Pd5 0.722 0.223 0.944
Hg1 0.221 0.221 0.442
```

Output
- SG: No. 107
- Energy of formation from the pure elements: -3.6 eV/f.u.

VASP calculation (PBE) on BaTaO2 after structural relaxation.

Structure (CIF):
```
data_BaTaO2
_chemical_formula_sum 'Ba1 Ta1 O2'
_symmetry_space_group_name_H-M 'P 1'
_symmetry_Int_Tables_number 1
_cell_length_a 7.104
_cell_length_b 7.104
_cell_length_c 7.104
_cell_angle_alpha 30.49
_cell_angle_beta 30.49
_cell_angle_gamma 30.49
loop_
_symmetry_equiv_pos_as_xyz
'x,y,z'
loop_
_atom_site_label
_atom_site_fract_x
_atom_site_fract_y
_atom_site_fract_z
Ta1 0.000 0.000 0.000
O1 0.906 0.906 0.906
O2 0.094 0.094 0.094
Ba1 0.500 0.500 0.500
```

Output
- Formation energy from raw total energies: -1.899 eV per atom
- SG: No. 166

Number 1: theoretical density 12.04 g/cm³, total DFT energy (no corrections) -2.401 eV/atom. Number 2: theoretical density 6.63 g/cm³, total DFT energy (no corrections) -6.830 eV/atom. Number 3: theoretical density 13.32 g/cm³, total DFT energy (no corrections) -7.317 eV/atom. Number 4: theoretical density 7.11 g/cm³, total DFT energy (no corrections) -7.822 eV/atom.